[1]
{"formula": "Ho2PaSbO8", "functional": "PBE", "state": "optimized geometry", "space_group": "Cmmm, No. 65", "final_energy_ev_per_cell": -98.091, "m_tot_mub_per_cell": 0.00, "lattice_angstrom": [[-1.448, 0.493, 4.776], [3.231, -3.653, 1.182], [4.925, 4.683, 1.010]], "species": ["Ho", "Ho", "Pa", "Sb", "O", "O", "O", "O", "O", "O", "O", "O"], "fractional_positions": [[0.500, 0.500, 0.760], [0.500, 0.500, 0.240], [0.000, 0.000, 0.500], [0.000, 0.000, 0.000], [0.183, 0.817, 0.231], [0.715, 0.716, 0.000], [0.817, 0.183, 0.231], [0.817, 0.183, 0.769], [0.285, 0.284, 0.000], [0.183, 0.817, 0.769], [0.699, 0.700, 0.500], [0.301, 0.300, 0.500]]}


[2]
{"formula": "NaAgTe2", "functional": "PBE", "state": "optimized geometry", "polymorph_energy_mev_per_atom": 97, "space_group": "Cmmm, No. 65", "final_energy_ev_per_cell": -11.448, "m_tot_mub_per_cell": 0.00, "lattice_angstrom": [[4.426, 0.000, 0.000], [0.000, 5.565, -0.330], [0.000, -1.636, 5.330]], "species": ["Na", "Ag", "Te", "Te"], "fractional_positions": [[0.000, 0.945, 0.055], [0.500, 0.445, 0.555], [0.500, 0.945, 0.555], [0.500, 0.445, 0.055]]}


[3]
{"formula": "Sm4GaTe3", "functional": "PBE", "state": "optimized geometry", "polymorph_energy_mev_per_atom": 0, "space_group": "P2/c, No. 13", "final_energy_ev_per_cell": -82.525, "m_tot_mub_per_cell": 0.00, "lattice_angstrom": [[-7.513, 0.988, 0.687], [1.922, -6.926, 2.688], [1.194, 3.464, 8.072]], "species": ["Te", "Te", "Te", "Te", "Te", "Te", "Ga", "Ga", "Sm", "Sm", "Sm", "Sm", "Sm", "Sm", "Sm", "Sm"], "fractional_positions": [[0.750, 0.000, 0.377], [0.250, 0.000, 0.623], [0.750, 0.500, 0.620], [0.750, 0.500, 0.125], [0.250, 0.500, 0.380], [0.250, 0.500, 0.875], [0.750, 0.000, 0.877], [0.250, 0.000, 0.123], [0.984, 0.236, 0.643], [0.501, 0.232, 0.884], [0.484, 0.236, 0.357], [0.001, 0.232, 0.116], [0.999, 0.768, 0.884], [0.516, 0.764, 0.643], [0.499, 0.768, 0.116], [0.016, 0.764, 0.357]]}


[4]
{"formula": "NaBeW2", "functional": "PBE", "state": "optimized geometry", "polymorph_energy_mev_per_atom": 93, "space_group": "Fm-3m, No. 225", "final_energy_ev_per_cell": -25.270, "m_tot_mub_per_cell": 0.00, "lattice_angstrom": [[0.000, 3.070, 3.070], [3.070, 0.000, 3.070], [3.070, 3.070, 0.000]], "species": ["Na", "W", "W", "Be"], "fractional_positions": [[0.500, 0.500, 0.500], [0.250, 0.250, 0.250], [0.750, 0.750, 0.750], [0.000, 0.000, 0.000]]}


[5]
{"formula": "Cu2HgI4", "functional": "PBE", "state": "optimized geometry", "space_group": "Cccm, No. 66", "final_energy_ev_per_cell": -29.279, "m_tot_mub_per_cell": 0.00, "lattice_angstrom": [[5.810, 1.329, 0.000], [-1.470, 5.776, 0.000], [0.000, 0.000, 16.809]], "species": ["I", "I", "I", "I", "I", "I", "I", "I", "Hg", "Hg", "Cu", "Cu", "Cu", "Cu"], "fractional_positions": [[0.719, 0.247, 0.615], [0.753, 0.281, 0.115], [0.753, 0.281, 0.885], [0.719, 0.247, 0.385], [0.281, 0.753, 0.615], [0.247, 0.719, 0.885], [0.247, 0.719, 0.115], [0.281, 0.753, 0.385], [0.000, 0.500, 0.500], [0.500, 0.000, 0.000], [0.500, 0.500, 0.000], [0.000, 0.500, 0.000], [0.500, 0.500, 0.500], [0.500, 0.000, 0.500]]}


[6]
{"formula": "Pa2AsSe", "functional": "PBE", "state": "optimized geometry", "polymorph_energy_mev_per_atom": 229, "space_group": "P4/mmm, No. 123", "final_energy_ev_per_cell": -30.789, "m_tot_mub_per_cell": 1.70, "lattice_angstrom": [[-0.661, -0.483, -3.428], [3.380, -0.845, -0.533], [-1.502, -6.791, 1.246]], "species": ["As", "Pa", "Pa", "Se"], "fractional_positions": [[0.500, 0.500, 0.000], [0.000, 0.000, 0.756], [0.000, 0.000, 0.244], [0.500, 0.500, 0.500]]}


Number 1: ρ 7.79 g cm⁻³. Number 2: ρ 4.97 g cm⁻³. Number 3: ρ 7.17 g cm⁻³. Number 4: ρ 11.47 g cm⁻³. Number 5: ρ 4.65 g cm⁻³. Number 6: ρ 11.65 g cm⁻³.